(1)
## RuPtAu2 (PBE)

Data for crystalline RuPtAu2 at its relaxed geometry.

Computed properties:
polymorph energy (0 for the lowest one): 226 meV per atom
M_tot: 0.559 μB per atom
ρ: 17.13 g/cm3
ΔE_f: 368 meV/atom
symmetry: Fm-3m (225)
calculated total energy: -20.401 eV for the cell shown

```
RuPtAu2
1.0
-3.977 -0.988 1.993
-1.757 2.832 3.108
-3.714 2.447 -0.989
Ru Au Pt
1 2 1
direct
0.000 0.000 0.000
0.250 0.250 0.250
0.750 0.750 0.750
0.500 0.500 0.500
```



(2)
## Pt2Au2S (PBE)

Data for crystalline Pt2Au2S at its relaxed geometry.

Computed properties:
raw formation energy: 21 kJ/mol of atoms
M_tot: 0.000 μB per atom
ρ: 15.29 g/cm3
symmetry: P4/mbm (127)
calculated total energy: -43.401 eV for the cell shown

```
Pt2Au2S
1.0
6.403 0.000 0.000
0.000 6.403 0.000
0.000 0.000 4.322
S Au Pt
2 4 4
direct
0.000 0.000 0.000
0.500 0.500 0.000
0.153 0.653 0.500
0.653 0.847 0.500
0.847 0.347 0.500
0.347 0.153 0.500
0.342 0.842 0.000
0.842 0.658 0.000
0.658 0.158 0.000
0.158 0.342 0.000
```



(3)
## PtAuS2 (PBE)

Data for crystalline PtAuS2 at its relaxed geometry.

Computed properties:
raw formation energy: -16 kJ/mol of atoms
M_tot: 0.000 μB per atom
ρ: 9.13 g/cm3
symmetry: P6_3/mmc (194)
calculated total energy: -36.482 eV for the cell shown

```
PtAuS2
1.0
-0.645 -2.485 -2.650
3.408 0.412 1.353
-2.712 -9.746 9.799
Pt Au S
2 2 4
direct
0.000 0.000 0.500
0.000 0.000 0.000
0.667 0.333 0.750
0.333 0.667 0.250
0.667 0.333 0.915
0.333 0.667 0.415
0.333 0.667 0.085
0.667 0.333 0.585
```



- Which value of calculated total energy does entry 2 give?
  -43.401 eV for the cell shown



- Among the records above, which one has the lowest ρ?
  PtAuS2



Repeat the second record exactly.
## Pt2Au2S (PBE)

Data for crystalline Pt2Au2S at its relaxed geometry.

Computed properties:
raw formation energy: 21 kJ/mol of atoms
M_tot: 0.000 μB per atom
ρ: 15.29 g/cm3
symmetry: P4/mbm (127)
calculated total energy: -43.401 eV for the cell shown

```
Pt2Au2S
1.0
6.403 0.000 0.000
0.000 6.403 0.000
0.000 0.000 4.322
S Au Pt
2 4 4
direct
0.000 0.000 0.000
0.500 0.500 0.000
0.153 0.653 0.500
0.653 0.847 0.500
0.847 0.347 0.500
0.347 0.153 0.500
0.342 0.842 0.000
0.842 0.658 0.000
0.658 0.158 0.000
0.158 0.342 0.000
```